## TlHPd3 (PBE)

Data for a relaxed TlHPd3 crystal.

As for the distance to the lowest polymorph of the same formula: 150 meV per atom.

a = 7.440 Å, b = 7.440 Å, c = 5.984 Å
α = 110.20°, β = 110.20°, γ = 82.69°
Atoms (fractional coordinates):
Tl 0.203 0.797 0.750
Tl 0.297 0.703 0.250
Tl 0.703 0.297 0.750
Tl 0.797 0.203 0.250
H 0.121 0.358 0.267
H 0.358 0.121 0.767
H 0.642 0.879 0.233
H 0.879 0.642 0.733
Pd 0.048 0.451 0.751
Pd 0.081 0.165 0.986
Pd 0.165 0.081 0.486
Pd 0.336 0.420 0.512
Pd 0.420 0.336 0.012
Pd 0.451 0.048 0.251
Pd 0.549 0.952 0.749
Pd 0.580 0.664 0.988
Pd 0.664 0.580 0.488
Pd 0.835 0.919 0.514
Pd 0.919 0.835 0.014
Pd 0.952 0.549 0.249

---

## TlHPd3 (PBE)

Data for a relaxed TlHPd3 crystal.

As for the distance to the lowest polymorph of the same formula: 413 meV per atom.

a = 3.838 Å, b = 3.838 Å, c = 6.723 Å
α = 90.00°, β = 90.00°, γ = 90.00°
Atoms (fractional coordinates):
Tl 0.000 0.000 0.000
H 0.500 0.500 0.324
Pd 0.000 0.000 0.612
Pd 0.000 0.500 0.317
Pd 0.500 0.000 0.317

---

## TlH4Pd6 (PBE)

Data for a relaxed TlH4Pd6 crystal.

The uncorrected energy comes out at -4.298 eV/atom.

a = 5.847 Å, b = 5.847 Å, c = 5.847 Å
α = 123.50°, β = 123.50°, γ = 84.04°
Atoms (fractional coordinates):
Tl 0.000 0.000 0.000
H 0.217 0.480 0.000
H 0.480 0.217 0.000
H 0.520 0.520 0.737
H 0.783 0.783 0.263
Pd 0.000 0.500 0.500
Pd 0.091 0.091 0.635
Pd 0.456 0.456 0.365
Pd 0.500 0.000 0.500
Pd 0.544 0.909 0.000
Pd 0.909 0.544 0.000

---

## TlHPd3 (PBE)

Data for a relaxed TlHPd3 crystal.

As for the distance to the lowest polymorph of the same formula: 230 meV per atom.

a = 5.412 Å, b = 5.412 Å, c = 5.785 Å
α = 90.00°, β = 90.00°, γ = 116.53°
Atoms (fractional coordinates):
Tl 0.003 0.997 0.750
Tl 0.997 0.003 0.250
H 0.367 0.633 0.250
H 0.633 0.367 0.750
Pd 0.009 0.500 0.750
Pd 0.500 0.009 0.250
Pd 0.500 0.500 0.000
Pd 0.500 0.500 0.500
Pd 0.500 0.991 0.750
Pd 0.991 0.500 0.250

---

## Tl2H3Pd2 (PBE)

Data for a relaxed Tl2H3Pd2 crystal.

The uncorrected energy comes out at -3.606 eV/atom.

a = 3.469 Å, b = 5.578 Å, c = 5.593 Å
α = 89.34°, β = 89.91°, γ = 71.92°
Atoms (fractional coordinates):
Tl 0.159 0.188 0.264
Tl 0.841 0.812 0.736
H 0.098 0.303 0.749
H 0.500 0.500 0.000
H 0.902 0.697 0.251
Pd 0.426 0.649 0.271
Pd 0.574 0.351 0.729

---

## TlHPd3 (PBE)

Data for a relaxed TlHPd3 crystal.

As for the distance to the lowest polymorph of the same formula: 70 meV per atom.

a = 5.845 Å, b = 5.845 Å, c = 5.030 Å
α = 104.03°, β = 104.03°, γ = 60.34°
Atoms (fractional coordinates):
Tl 0.000 0.000 0.000
Tl 0.724 0.724 0.461
H 0.337 0.337 0.121
H 0.417 0.417 0.616
Pd 0.226 0.740 0.488
Pd 0.230 0.230 0.481
Pd 0.490 0.490 0.991
Pd 0.495 0.985 0.974
Pd 0.740 0.226 0.488
Pd 0.985 0.495 0.974

---

## TlHPd3 (PBE)

Data for a relaxed TlHPd3 crystal.

As for the distance to the lowest polymorph of the same formula: 67 meV per atom.

a = 5.891 Å, b = 5.891 Å, c = 5.891 Å
α = 59.72°, β = 59.72°, γ = 59.72°
Atoms (fractional coordinates):
Tl 0.248 0.248 0.248
Tl 0.752 0.752 0.752
H 0.436 0.436 0.436
H 0.564 0.564 0.564
Pd 0.242 0.756 0.756
Pd 0.244 0.244 0.758
Pd 0.244 0.758 0.244
Pd 0.756 0.242 0.756
Pd 0.756 0.756 0.242
Pd 0.758 0.244 0.244

---

## TlH6Pd8 (PBE)

Data for a relaxed TlH6Pd8 crystal.

The uncorrected energy comes out at -4.372 eV/atom.

a = 5.517 Å, b = 5.517 Å, c = 5.517 Å
α = 95.07°, β = 95.07°, γ = 95.07°
Atoms (fractional coordinates):
Tl 0.000 0.000 0.000
H 0.207 0.304 0.624
H 0.304 0.624 0.207
H 0.376 0.793 0.696
H 0.624 0.207 0.304
H 0.696 0.376 0.793
H 0.793 0.696 0.376
Pd 0.120 0.785 0.437
Pd 0.215 0.563 0.880
Pd 0.327 0.327 0.327
Pd 0.437 0.120 0.785
Pd 0.563 0.880 0.215
Pd 0.673 0.673 0.673
Pd 0.785 0.437 0.120
Pd 0.880 0.215 0.563

---

## TlH3Pd3 (PBE)

Data for a relaxed TlH3Pd3 crystal.

As for the distance to the lowest polymorph of the same formula: 0 meV per atom.

a = 5.437 Å, b = 5.437 Å, c = 5.437 Å
α = 90.00°, β = 90.00°, γ = 90.00°
Atoms (fractional coordinates):
Tl 0.000 0.000 0.000
Tl 0.500 0.500 0.500
H 0.000 0.250 0.500
H 0.000 0.750 0.500
H 0.250 0.500 0.000
H 0.500 0.000 0.250
H 0.500 0.000 0.750
H 0.750 0.500 0.000
Pd 0.000 0.500 0.250
Pd 0.000 0.500 0.750
Pd 0.250 0.000 0.500
Pd 0.500 0.250 0.000
Pd 0.500 0.750 0.000
Pd 0.750 0.000 0.500

---

## Tl2HPd6 (PBE)

Data for a relaxed Tl2HPd6 crystal.

As for the distance to the lowest polymorph of the same formula: 18 meV per atom.

a = 5.832 Å, b = 5.832 Å, c = 4.698 Å
α = 90.00°, β = 90.00°, γ = 120.00°
Atoms (fractional coordinates):
Tl 0.333 0.667 0.247
Tl 0.667 0.333 0.753
H 0.000 0.000 0.500
Pd 0.165 0.331 0.749
Pd 0.165 0.835 0.749
Pd 0.331 0.165 0.251
Pd 0.669 0.835 0.749
Pd 0.835 0.165 0.251
Pd 0.835 0.669 0.251

---

## TlHPd3 (PBE)

Data for a relaxed TlHPd3 crystal.

As for the distance to the lowest polymorph of the same formula: 226 meV per atom.

a = 5.396 Å, b = 5.396 Å, c = 5.396 Å
α = 80.32°, β = 80.32°, γ = 80.32°
Atoms (fractional coordinates):
Tl 0.000 0.000 0.000
Tl 0.500 0.500 0.500
H 0.250 0.250 0.250
H 0.750 0.750 0.750
Pd 0.004 0.750 0.496
Pd 0.250 0.504 0.996
Pd 0.496 0.004 0.750
Pd 0.504 0.996 0.250
Pd 0.750 0.496 0.004
Pd 0.996 0.250 0.504

---

## TlHPd3 (PBE)

Data for a relaxed TlHPd3 crystal.

As for the distance to the lowest polymorph of the same formula: 406 meV per atom.

a = 7.383 Å, b = 7.383 Å, c = 5.184 Å
α = 90.00°, β = 90.00°, γ = 136.11°
Atoms (fractional coordinates):
Tl 0.179 0.821 0.750
Tl 0.821 0.179 0.250
H 0.422 0.578 0.750
H 0.578 0.422 0.250
Pd 0.000 0.000 0.000
Pd 0.000 0.000 0.500
Pd 0.097 0.393 0.750
Pd 0.393 0.097 0.250
Pd 0.607 0.903 0.750
Pd 0.903 0.607 0.250

---

## TlH2Pd (PBE)

Data for a relaxed TlH2Pd crystal.

As for the distance to the lowest polymorph of the same formula: 0 meV per atom.

a = 4.910 Å, b = 4.910 Å, c = 5.527 Å
α = 90.52°, β = 90.52°, γ = 112.04°
Atoms (fractional coordinates):
Tl 0.118 0.882 0.750
Tl 0.882 0.118 0.250
H 0.363 0.633 0.015
H 0.367 0.637 0.485
H 0.633 0.363 0.515
H 0.637 0.367 0.985
Pd 0.489 0.511 0.750
Pd 0.511 0.489 0.250

---

## TlH2Pd4 (PBE)

Data for a relaxed TlH2Pd4 crystal.

The uncorrected energy comes out at -4.310 eV/atom.

a = 5.316 Å, b = 5.316 Å, c = 7.823 Å
α = 112.56°, β = 112.56°, γ = 81.71°
Atoms (fractional coordinates):
Tl 0.000 0.000 0.000
Tl 0.629 0.371 0.500
H 0.290 0.559 0.159
H 0.441 0.710 0.841
H 0.443 0.256 0.837
H 0.744 0.557 0.163
Pd 0.089 0.101 0.391
Pd 0.107 0.555 0.304
Pd 0.170 0.486 0.773
Pd 0.445 0.893 0.696
Pd 0.510 0.258 0.095
Pd 0.514 0.830 0.227
Pd 0.742 0.490 0.905
Pd 0.899 0.911 0.609

---

## TlHPd3 (PBE)

Data for a relaxed TlHPd3 crystal.

As for the distance to the lowest polymorph of the same formula: 0 meV per atom.

a = 4.126 Å, b = 4.126 Å, c = 4.126 Å
α = 90.00°, β = 90.00°, γ = 90.00°
Atoms (fractional coordinates):
Tl 0.000 0.000 0.000
H 0.500 0.500 0.500
Pd 0.000 0.500 0.500
Pd 0.500 0.000 0.500
Pd 0.500 0.500 0.000

---

## TlHPd3 (PBE)

Data for a relaxed TlHPd3 crystal.

As for the distance to the lowest polymorph of the same formula: 117 meV per atom.

a = 7.211 Å, b = 5.443 Å, c = 9.422 Å
α = 90.00°, β = 127.59°, γ = 90.00°
Atoms (fractional coordinates):
Tl 0.204 0.154 0.304
Tl 0.204 0.346 0.804
Tl 0.796 0.654 0.196
Tl 0.796 0.846 0.696
H 0.346 0.643 0.259
H 0.346 0.857 0.759
H 0.654 0.143 0.241
H 0.654 0.357 0.741
Pd 0.049 0.745 0.065
Pd 0.049 0.755 0.565
Pd 0.307 0.645 0.441
Pd 0.307 0.855 0.941
Pd 0.438 0.107 0.678
Pd 0.438 0.393 0.178
Pd 0.562 0.607 0.822
Pd 0.562 0.893 0.322
Pd 0.693 0.145 0.059
Pd 0.693 0.355 0.559
Pd 0.951 0.245 0.435
Pd 0.951 0.255 0.935

---

## TlH3Pd2 (PBE)

Data for a relaxed TlH3Pd2 crystal.

The uncorrected energy comes out at -3.829 eV/atom.

a = 4.908 Å, b = 5.748 Å, c = 5.846 Å
α = 99.34°, β = 96.66°, γ = 101.80°
Atoms (fractional coordinates):
Tl 0.171 0.354 0.304
Tl 0.829 0.646 0.696
H 0.000 0.219 0.841
H 0.000 0.781 0.159
H 0.340 0.592 0.955
H 0.457 0.025 0.697
H 0.543 0.975 0.303
H 0.660 0.408 0.045
Pd 0.211 0.898 0.421
Pd 0.363 0.309 0.818
Pd 0.637 0.691 0.182
Pd 0.789 0.102 0.579

---

## TlHPd3 (PBE)

Data for a relaxed TlHPd3 crystal.

As for the distance to the lowest polymorph of the same formula: 72 meV per atom.

a = 5.881 Å, b = 5.881 Å, c = 5.023 Å
α = 104.90°, β = 104.90°, γ = 60.37°
Atoms (fractional coordinates):
Tl 0.138 0.138 0.264
Tl 0.862 0.862 0.736
H 0.438 0.438 0.147
H 0.562 0.562 0.853
Pd 0.117 0.636 0.252
Pd 0.364 0.883 0.748
Pd 0.373 0.373 0.749
Pd 0.627 0.627 0.251
Pd 0.636 0.117 0.252
Pd 0.883 0.364 0.748

---

## Tl2HPd3 (PBE)

Data for a relaxed Tl2HPd3 crystal.

As for the distance to the lowest polymorph of the same formula: 24 meV per atom.

a = 6.875 Å, b = 6.875 Å, c = 6.005 Å
α = 105.68°, β = 105.68°, γ = 47.15°
Atoms (fractional coordinates):
Tl 0.071 0.295 0.155
Tl 0.295 0.071 0.655
Tl 0.705 0.929 0.345
Tl 0.929 0.705 0.845
H 0.424 0.576 0.250
H 0.576 0.424 0.750
Pd 0.099 0.901 0.250
Pd 0.303 0.489 0.533
Pd 0.489 0.303 0.033
Pd 0.511 0.697 0.967
Pd 0.697 0.511 0.467
Pd 0.901 0.099 0.750

---

## Tl2H2Pd (PBE)

Data for a relaxed Tl2H2Pd crystal.

As for the distance to the lowest polymorph of the same formula: 0 meV per atom.

a = 5.852 Å, b = 5.852 Å, c = 4.864 Å
α = 90.00°, β = 90.00°, γ = 90.00°
Atoms (fractional coordinates):
Tl 0.190 0.310 0.000
Tl 0.310 0.810 0.000
Tl 0.690 0.190 0.000
Tl 0.810 0.690 0.000
H 0.243 0.743 0.500
H 0.257 0.243 0.500
H 0.743 0.757 0.500
H 0.757 0.257 0.500
Pd 0.000 0.000 0.500
Pd 0.500 0.500 0.500

---

## Tl2H2Pd3 (PBE)

Data for a relaxed Tl2H2Pd3 crystal.

The uncorrected energy comes out at -4.014 eV/atom.

a = 5.681 Å, b = 5.715 Å, c = 8.543 Å
α = 90.00°, β = 124.74°, γ = 90.00°
Atoms (fractional coordinates):
Tl 0.147 0.086 0.382
Tl 0.147 0.414 0.882
Tl 0.853 0.586 0.118
Tl 0.853 0.914 0.618
H 0.375 0.548 0.594
H 0.375 0.952 0.094
H 0.625 0.048 0.906
H 0.625 0.452 0.406
Pd 0.000 0.000 0.000
Pd 0.000 0.500 0.500
Pd 0.461 0.693 0.233
Pd 0.461 0.807 0.733
Pd 0.539 0.193 0.267
Pd 0.539 0.307 0.767